VASP calculation (GGA-PBE) on an optimized crystal structure of TbY5S4.

```
10
Lattice="3.8001 0.0000 -0.8275 -0.3886 7.4939 -1.7846 -0.1220 0.0944 8.5788" Properties=species:S:1:pos:R:3 pbc="T T T"
S 2.4635 0.6571 2.1740
S 0.8259 6.9312 3.7927
S 3.3737 5.6873 6.3538
S -0.0843 1.9011 -0.3871
Tb 1.9000 0.0000 -0.4138
Y 3.0240 1.3148 4.7477
Y 0.4875 2.5739 2.2388
Y 1.7057 3.7470 -1.3061
Y 2.8019 5.0145 3.7279
Y 0.2655 6.2735 1.2190
```

Properties
- D(E_F) (states/eV/f.u.) = 7.2
- formation energy without anion corrections (eV/atom) = -1.5791
- total magnetic moment (μB/f.u.) = 0.00
- space-group type = C2/m (12)

***

VASP calculation (GGA-PBE) on an optimized crystal structure of KZnCrI2.

```
5
Lattice="-0.6098 -0.5931 6.3787 -5.6740 -2.6919 -0.7928 2.7869 -5.7941 -0.2723" Properties=species:S:1:pos:R:3 pbc="T T T"
Cr -2.8370 -1.3459 -0.3964
K 0.0000 0.0000 0.0000
I 1.3934 -2.8970 -0.1362
I -0.3049 -0.2966 3.1894
Zn -1.7485 -4.5395 2.6568
```

Properties
- D(E_F) (states/eV/f.u.) = 3.6
- formation energy without anion corrections (eV/atom) = 0.5526
- total magnetic moment (μB/f.u.) = 5.00
- space-group type = P4/mmm (123)

***

VASP calculation (GGA-PBE) on an optimized crystal structure of Ba5RhI.

```
14
Lattice="4.5540 0.0000 0.0000 0.0000 9.1385 0.2340 0.0000 1.0204 17.6224" Properties=species:S:1:pos:R:3 pbc="T T T"
Ba 3.4155 6.6079 16.1472
Ba 1.1385 7.8151 1.6191
Ba 1.1385 4.7730 12.5471
Ba 1.1385 6.8104 8.8236
Ba 3.4155 3.3485 9.0328
Ba 1.1385 3.5511 1.7092
Ba 3.4155 2.3438 16.2374
Ba 1.1385 1.3786 5.9670
Ba 3.4155 8.7804 11.8895
Ba 3.4155 5.3859 5.3093
Rh 1.1385 4.1032 6.9291
Rh 3.4155 6.0557 10.9274
I 3.4155 1.0368 2.9734
I 1.1385 9.1221 14.8831
```

Properties
- D(E_F) (states/eV/f.u.) = 6.8
- formation energy without anion corrections (eV/atom) = -0.3966
- total magnetic moment (μB/f.u.) = 1.53
- space-group type = P2_1/m (11)

***

VASP calculation (GGA-PBE) on an optimized crystal structure of MnCr.

```
8
Lattice="4.7957 0.0000 0.0000 0.0000 4.7957 0.0000 0.0000 0.0000 4.7320" Properties=species:S:1:pos:R:3 pbc="T T T"
Mn 1.4253 1.4253 0.0000
Mn 3.8232 0.9725 2.3660
Mn 0.9725 3.8232 2.3660
Mn 3.3704 3.3704 0.0000
Cr 0.9812 3.8145 0.0000
Cr 3.8145 0.9812 0.0000
Cr 3.3791 3.3791 2.3660
Cr 1.4167 1.4167 2.3660
```

Properties
- D(E_F) (states/eV/f.u.) = 1.8
- formation enthalpy at 0 K (eV per atom) = 0.7089
- total magnetic moment (μB/f.u.) = 0.23
- space-group type = P4_2/mnm (136)

***

VASP calculation (GGA-PBE) on an optimized crystal structure of Ba2CeYSe6.

```
20
Lattice="-6.9482 1.8966 1.6780 -0.2651 -5.8415 5.5048 3.8039 6.9338 7.5411" Properties=species:S:1:pos:R:3 pbc="T T T"
Se 0.3495 2.3353 4.8268
Se -3.7588 0.6537 9.8971
Se -3.1539 2.7385 2.9856
Se -2.7932 3.3328 6.9509
Se -1.2496 6.1549 9.9976
Se -0.2554 0.2504 11.7384
Se -2.2164 3.4535 12.9649
Se -2.1597 -3.1660 4.7264
Se 2.1001 2.5672 8.4521
Se -0.6162 -0.3438 7.7730
Se -1.1930 -0.4645 1.7590
Se -5.5094 0.4218 6.2718
Ba -2.4350 0.1727 4.9871
Ba 0.5076 -3.5853 6.9991
Ba -3.9170 6.5742 7.7248
Ba -0.9744 2.8163 9.7368
Y -1.5721 4.4152 4.6096
Y -0.1325 -2.9207 2.7524
Ce 1.7694 0.5462 6.5230
Ce -3.4741 0.9483 0.8390
```

Properties
- D(E_F) (states/eV/f.u.) = 14.1
- formation energy without anion corrections (eV/atom) = -1.7180
- total magnetic moment (μB/f.u.) = 0.00
- space-group type = P2_1/c (14)

***

VASP calculation (GGA-PBE) on an optimized crystal structure of Na2Ga2Sn5.

```
18
Lattice="10.4423 0.0000 0.0000 0.0000 6.2335 0.0000 -5.2211 -3.1167 7.5883" Properties=species:S:1:pos:R:3 pbc="T T T"
Sn -2.5677 1.6276 6.9127
Sn 3.2154 2.8965 2.1550
Sn 7.7888 4.7443 0.6757
Sn 2.0057 -0.2202 5.4333
Sn 2.0057 -0.2202 2.1550
Sn 7.8746 1.6276 0.6756
Sn 7.8240 -1.3291 3.7941
Sn -2.6028 1.7876 3.7942
Sn 3.2154 2.8965 5.4333
Sn -2.6534 -1.4891 6.9127
Ga 0.0000 0.2481 0.0000
Ga 5.2211 3.3648 0.0000
Ga 5.4746 3.2854 3.7941
Ga -0.2534 0.1686 3.7941
Na 5.1883 0.0961 5.6912
Na 0.0328 3.2128 1.8971
Na 5.1883 0.0961 1.8971
Na 0.0328 3.2128 5.6912
```

Properties
- D(E_F) (states/eV/f.u.) = 4.0
- formation enthalpy at 0 K (eV per atom) = -0.0117
- total magnetic moment (μB/f.u.) = 0.00
- space-group type = Ima2 (46)